P | Compound: Tm6IrRh2
Source: Alexandria via LeMat-Bulk
Functional: PBE-GGA
Structure: relaxed

Cell lengths 6.489, 7.275, 11.360 Å; angles 90.00, 123.10, 90.00 degrees
Positions (direct):
Tm1 0.085 0.048 0.243
Tm2 0.085 0.452 0.743
Tm3 0.229 0.674 0.075
Tm4 0.229 0.826 0.575
Tm5 0.391 0.172 0.065
Tm6 0.391 0.328 0.565
Tm7 0.609 0.672 0.435
Tm8 0.609 0.828 0.935
Tm9 0.771 0.174 0.425
Tm10 0.771 0.326 0.925
Tm11 0.915 0.548 0.257
Tm12 0.915 0.952 0.757
Ir1 0.500 0.000 0.500
Ir2 0.500 0.500 0.000
Rh1 0.311 0.118 0.767
Rh2 0.311 0.382 0.267
Rh3 0.689 0.618 0.733
Rh4 0.689 0.882 0.233

Q | Compound: Tm6IrRh2
Source: Alexandria via LeMat-Bulk
Functional: PBE-GGA
Structure: relaxed

Cell lengths 8.157, 8.157, 8.157 Å; angles 111.23, 110.44, 106.78 degrees
Positions (direct):
Tm1 0.028 0.830 0.198
Tm2 0.257 0.569 0.312
Tm3 0.257 0.944 0.688
Tm4 0.263 0.325 0.588
Tm5 0.263 0.675 0.938
Tm6 0.367 0.170 0.198
Tm7 0.633 0.830 0.802
Tm8 0.737 0.325 0.062
Tm9 0.737 0.675 0.412
Tm10 0.743 0.056 0.312
Tm11 0.743 0.431 0.688
Tm12 0.972 0.170 0.802
Ir1 0.000 0.500 0.500
Ir2 0.500 0.000 0.500
Rh1 0.000 0.164 0.164
Rh2 0.000 0.836 0.836
Rh3 0.368 0.368 0.000
Rh4 0.632 0.632 0.000

Question: which arrangement is favored energetically? Ranking from most to least stable: Q, P.

P | Compound: UIrRh4
Source: Alexandria via LeMat-Bulk
Functional: PBE-GGA
Structure: relaxed

Cell lengths 8.968, 8.219, 5.318 Å; angles 79.85, 64.44, 35.71 degrees
Positions (direct):
U1 0.125 0.125 0.125
U2 0.875 0.875 0.875
Ir1 0.375 0.375 0.375
Ir2 0.625 0.625 0.625
Rh1 0.027 0.538 0.224
Rh2 0.224 0.711 0.027
Rh3 0.289 0.776 0.462
Rh4 0.462 0.973 0.289
Rh5 0.538 0.027 0.711
Rh6 0.711 0.224 0.538
Rh7 0.776 0.289 0.973
Rh8 0.973 0.462 0.776

Q | Compound: UIrRh4
Source: Alexandria via LeMat-Bulk
Functional: PBE-GGA
Structure: relaxed

Cell lengths 4.932, 4.932, 8.663 Å; angles 90.00, 90.00, 90.00 degrees
Positions (direct):
U1 0.000 0.500 0.250
U2 0.500 0.000 0.750
Ir1 0.000 0.000 0.000
Ir2 0.000 0.000 0.500
Rh1 0.250 0.402 0.887
Rh2 0.250 0.598 0.613
Rh3 0.402 0.250 0.387
Rh4 0.402 0.750 0.113
Rh5 0.598 0.250 0.113
Rh6 0.598 0.750 0.387
Rh7 0.750 0.402 0.613
Rh8 0.750 0.598 0.887

Question: which arrangement is favored energetically? Ranking from most to least stable: P, Q.